#P
KCuSe2N: relaxed, PBE-GGA.

Summary:
N(E_F): 0.858 states/eV/atom
Total magnetic moment: 1.01 μB per atom
V: 171.12 Å³ per cell

Lattice parameters (Å, degrees): 5.899 5.899 4.917 90.00 90.00 90.00
Space group P4/mmm (No. 123)
Inequivalent atoms, fractional coordinates:
1 K 0.000 0.000 0.000
2 Cu 0.500 0.500 0.500
3 Se 0.000 0.500 0.000
4 N 0.000 0.000 0.500

=====

#Q
KCuSe2N: relaxed, PBE-GGA.

Summary:
N(E_F): 1.609 states/eV/atom
Total magnetic moment: 0.00 μB per atom
V: 161.38 Å³ per cell

Lattice parameters (Å, degrees): 5.662 5.662 5.033 90.00 90.00 90.00
Space group P4/mmm (No. 123)
Inequivalent atoms, fractional coordinates:
1 K 0.000 0.000 0.000
2 Cu 0.000 0.000 0.500
3 Se 0.000 0.500 0.000
4 N 0.500 0.500 0.500

=====

Which of them is the least stable? Correct choice: #Q.

=====

#P
KCuTeN2: relaxed, PBE-GGA.

Summary:
N(E_F): 0.711 states/eV/atom
Total magnetic moment: 0.81 μB per atom
V: 101.64 Å³ per cell

Lattice parameters (Å, degrees): 4.379 4.379 5.300 90.00 90.00 90.00
Space group P4/mmm (No. 123)
Inequivalent atoms, fractional coordinates:
1 K 0.000 0.000 0.000
2 Cu 0.500 0.500 0.500
3 Te 0.500 0.500 0.000
4 N 0.000 0.500 0.500

=====

#Q
KCuTeN2: relaxed, PBE-GGA.

Summary:
N(E_F): 0.534 states/eV/atom
Total magnetic moment: 1.11 μB per atom
V: 156.23 Å³ per cell

Lattice parameters (Å, degrees): 4.763 4.763 6.886 90.00 90.00 90.00
Space group P4/mmm (No. 123)
Inequivalent atoms, fractional coordinates:
1 K 0.000 0.000 0.000
2 Cu 0.500 0.500 0.500
3 Te 0.000 0.000 0.500
4 N 0.000 0.500 0.000

=====

Which of them is the least stable? Correct choice: #Q.

=====

#P
KCuTe2N: relaxed, PBE-GGA.

Summary:
N(E_F): 0.777 states/eV/atom
Total magnetic moment: 0.14 μB per atom
V: 127.74 Å³ per cell

Lattice parameters (Å, degrees): 6.087 6.087 3.447 90.00 90.00 90.00
Space group P4/mmm (No. 123)
Inequivalent atoms, fractional coordinates:
1 K 0.000 0.000 0.000
2 Cu 0.500 0.500 0.500
3 Te 0.000 0.500 0.500
4 N 0.500 0.500 0.000

=====

#Q
KCuTe2N: relaxed, PBE-GGA.

Summary:
N(E_F): 1.393 states/eV/atom
Total magnetic moment: 0.03 μB per atom
V: 153.64 Å³ per cell

Lattice parameters (Å, degrees): 6.053 6.053 4.194 90.00 90.00 90.00
Space group P4/mmm (No. 123)
Inequivalent atoms, fractional coordinates:
1 K 0.000 0.000 0.000
2 Cu 0.500 0.500 0.500
3 Te 0.000 0.500 0.000
4 N 0.000 0.000 0.500

=====

Which of them is the least stable? Correct choice: #Q.

=====

#P
K2NaCu: relaxed, PBE-GGA.

Summary:
N(E_F): 0.312 states/eV/atom
Total magnetic moment: 0.00 μB per atom
V: 756.38 Å³ per cell

Lattice parameters (Å, degrees): 11.324 11.324 5.899 90.00 90.00 90.00
Space group I-42d (No. 122)
Inequivalent atoms, fractional coordinates:
1 K 0.120 0.250 0.125
2 Na 0.000 0.000 0.500
3 Cu 0.000 0.000 0.000

=====

#Q
K2NaCu: relaxed, PBE-GGA.

Summary:
N(E_F): 0.488 states/eV/atom
Total magnetic moment: 0.00 μB per atom
V: 620.80 Å³ per cell

Lattice parameters (Å, degrees): 8.531 8.531 8.531 90.00 90.00 90.00
Space group Fm-3m (No. 225)
Inequivalent atoms, fractional coordinates:
1 K 0.250 0.250 0.250
2 Na 0.000 0.000 0.000
3 Cu 0.000 0.000 0.500

=====

Which of them is the least stable? Correct choice: #P.

=====

#P
K2Na2Cu: relaxed, PBE-GGA.

Summary:
N(E_F): 0.617 states/eV/atom
Total magnetic moment: 0.00 μB per atom
V: 434.63 Å³ per cell

Lattice parameters (Å, degrees): 4.430 4.430 22.146 90.00 90.00 90.00
Space group I4/mmm (No. 139)
Inequivalent atoms, fractional coordinates:
1 K 0.000 0.000 0.085
2 Na 0.000 0.500 0.250
3 Cu 0.000 0.000 0.500

=====

#Q
K2Na2Cu: relaxed, PBE-GGA.

Summary:
N(E_F): 0.421 states/eV/atom
Total magnetic moment: 0.00 μB per atom
V: 400.76 Å³ per cell

Lattice parameters (Å, degrees): 8.003 8.003 6.257 90.00 90.00 90.00
Space group P4/mbm (No. 127)
Inequivalent atoms, fractional coordinates:
1 K 0.187 0.313 0.000
2 Na 0.154 0.654 0.500
3 Cu 0.000 0.000 0.500

=====

Which of them is the least stable? Correct choice: #P.

=====

#P
KNaCu2: relaxed, PBE-GGA.

Summary:
N(E_F): 0.000 states/eV/atom
Total magnetic moment: 0.00 μB per atom
V: 645.29 Å³ per cell

Lattice parameters (Å, degrees): 6.903 6.903 13.543 90.00 90.00 90.00
Space group I-42d (No. 122)
Inequivalent atoms, fractional coordinates:
1 K 0.000 0.000 0.000
2 Na 0.000 0.000 0.500
3 Cu 0.198 0.250 0.625

=====

#Q
KNaCu2: relaxed, PBE-GGA.

Summary:
N(E_F): 0.238 states/eV/atom
Total magnetic moment: 0.00 μB per atom
V: 412.41 Å³ per cell

Lattice parameters (Å, degrees): 7.444 7.444 7.444 90.00 90.00 90.00
Space group Fm-3m (No. 225)
Inequivalent atoms, fractional coordinates:
1 K 0.000 0.000 0.000
2 Na 0.000 0.000 0.500
3 Cu 0.250 0.250 0.250

=====

Which of them is the least stable? Correct choice: #P.

=====

#P
KNa2CuSn: relaxed, PBE-GGA.

Summary:
N(E_F): 0.200 states/eV/atom
Total magnetic moment: 0.00 μB per atom
V: 178.00 Å³ per cell

Lattice parameters (Å, degrees): 5.964 5.964 5.004 90.00 90.00 90.00
Space group P4/mmm (No. 123)
Inequivalent atoms, fractional coordinates:
1 K 0.000 0.000 0.000
2 Na 0.000 0.500 0.500
3 Cu 0.500 0.500 0.000
4 Sn 0.500 0.500 0.500

=====

#Q
KNa2CuSn: relaxed, PBE-GGA.

Summary:
N(E_F): 0.346 states/eV/atom
Total magnetic moment: 0.00 μB per atom
V: 158.36 Å³ per cell

Lattice parameters (Å, degrees): 5.664 5.664 4.937 90.00 90.00 90.00
Space group P4/mmm (No. 123)
Inequivalent atoms, fractional coordinates:
1 K 0.000 0.000 0.000
2 Na 0.000 0.500 0.500
3 Cu 0.500 0.500 0.500
4 Sn 0.500 0.500 0.000

=====

Which of them is the least stable? Correct choice: #P.

=====

#P
KNb2Cu: relaxed, PBE-GGA.

Summary:
N(E_F): 0.972 states/eV/atom
Total magnetic moment: 0.00 μB per atom
V: 457.77 Å³ per cell

Lattice parameters (Å, degrees): 4.846 4.846 19.494 90.00 90.00 90.00
Space group I4_1/amd (No. 141, origin choice 2)
Inequivalent atoms, fractional coordinates:
1 K 0.000 0.250 0.375
2 Nb 0.000 0.000 0.000
3 Cu 0.000 0.250 0.875

=====

#Q
KNb2Cu: relaxed, PBE-GGA.

Summary:
N(E_F): 1.430 states/eV/atom
Total magnetic moment: 0.00 μB per atom
V: 296.86 Å³ per cell

Lattice parameters (Å, degrees): 6.671 6.671 6.671 90.00 90.00 90.00
Space group Fm-3m (No. 225)
Inequivalent atoms, fractional coordinates:
1 K 0.000 0.000 0.000
2 Nb 0.250 0.250 0.250
3 Cu 0.000 0.000 0.500

=====

Which of them is the least stable? Correct choice: #Q.

=====

#P
KNbCu3: relaxed, PBE-GGA.

Summary:
N(E_F): 0.878 states/eV/atom
Total magnetic moment: 0.00 μB per atom
V: 123.47 Å³ per cell

Lattice parameters (Å, degrees): 4.979 4.979 4.979 90.00 90.00 90.00
Space group Pm-3m (No. 221)
Inequivalent atoms, fractional coordinates:
1 K 0.000 0.000 0.000
2 Nb 0.500 0.500 0.500
3 Cu 0.000 0.500 0.500

=====

#Q
KNbCu3: relaxed, PBE-GGA.

Summary:
N(E_F): 0.538 states/eV/atom
Total magnetic moment: 0.52 μB per atom
V: 105.97 Å³ per cell

Lattice parameters (Å, degrees): 4.732 4.732 4.732 90.00 90.00 90.00
Space group Pm-3m (No. 221)
Inequivalent atoms, fractional coordinates:
1 K 0.000 0.000 0.000
2 Nb 0.500 0.500 0.500
3 Cu 0.000 0.000 0.500

=====

Which of them is the least stable? Correct choice: #Q.

=====

#P
KNbCu2Se4: relaxed, PBE-GGA.

Summary:
Total magnetic moment: 0.00 μB per atom
V: 458.40 Å³ per cell

Lattice parameters (Å, degrees): 6.067 8.338 9.061 90.00 90.00 90.00
Space group I222 (No. 23)
Inequivalent atoms, fractional coordinates:
1 K 0.000 0.000 0.000
2 Nb 0.000 0.000 0.500
3 Cu 0.000 0.500 0.135
4 Se 0.212 0.178 0.338

=====

#Q
KNbCu2Se4: relaxed, PBE-GGA.

Summary:
Total magnetic moment: 0.00 μB per atom
V: 864.99 Å³ per cell

Lattice parameters (Å, degrees): 7.814 19.306 5.734 90.00 90.00 90.00
Space group Ama2 (No. 40)
Inequivalent atoms, fractional coordinates:
1 K 0.250 0.184 0.000
2 Nb 0.250 0.391 0.738
3 Cu 0.000 0.000 0.254
4 Cu 0.250 0.394 0.238
5 Se 0.005 0.106 0.487
6 Se 0.250 0.290 0.486
7 Se 0.250 0.497 0.492

=====

Which of them is the least stable? Correct choice: #P.

=====

#P
K2NbCuSe4: relaxed, PBE-GGA.

Summary:
Total magnetic moment: 0.00 μB per atom
V: 1947.59 Å³ per cell

Lattice parameters (Å, degrees): 5.732 13.861 24.515 90.00 90.00 90.00
Space group Fddd (No. 70, origin choice 2)
Inequivalent atoms, fractional coordinates:
1 K 0.125 0.125 0.305
2 Nb 0.125 0.125 0.625
3 Cu 0.125 0.125 0.125
4 Se 0.123 0.273 0.818

=====

#Q
K2NbCuSe4: relaxed, PBE-GGA.

Summary:
N(E_F): 0.000 states/eV/atom
Total magnetic moment: 0.00 μB per atom
V: 1948.77 Å³ per cell

Lattice parameters (Å, degrees): 5.777 13.804 24.438 90.00 90.00 90.00
Space group Fddd (No. 70, origin choice 2)
Inequivalent atoms, fractional coordinates:
1 K 0.125 0.125 0.305
2 Nb 0.125 0.125 0.125
3 Cu 0.125 0.125 0.625
4 Se 0.120 0.273 0.432

=====

Which of them is the least stable? Correct choice: #P.

=====

#P
KCu3O: relaxed, PBE-GGA.

Summary:
N(E_F): 0.152 states/eV/atom
Total magnetic moment: 0.00 μB per atom
V: 123.75 Å³ per cell

Lattice parameters (Å, degrees): 4.983 4.983 4.983 90.00 90.00 90.00
Space group Pm-3m (No. 221)
Inequivalent atoms, fractional coordinates:
1 K 0.000 0.000 0.000
2 Cu 0.000 0.000 0.500
3 O 0.500 0.500 0.500

=====

#Q
KCu3O: relaxed, PBE-GGA.

Summary:
N(E_F): 0.236 states/eV/atom
Total magnetic moment: 0.00 μB per atom
V: 81.83 Å³ per cell

Lattice parameters (Å, degrees): 4.342 4.342 4.342 90.00 90.00 90.00
Space group Pm-3m (No. 221)
Inequivalent atoms, fractional coordinates:
1 K 0.000 0.000 0.000
2 Cu 0.000 0.500 0.500
3 O 0.500 0.500 0.500

=====

Which of them is the least stable? Correct choice: #P.